RbTcPd | GGA-PBE | optimized geometry

```
RbTcPd
1.0
12.524 -2.063 0.000
12.524 2.063 0.000
-0.109 0.000 3.550
Rb Tc Pd
2 2 2
direct
0.000 0.000 0.000 Rb
0.684 0.684 0.441 Rb
0.813 0.813 0.955 Tc
0.871 0.871 0.467 Tc
0.292 0.292 0.448 Pd
0.392 0.392 0.970 Pd
```

Summary:
E_tot = -5.123 eV per atom
formation energy from the elements = 386 meV/atom
spin magnetization = 0.00 μB/f.u.
space-group type = Cm, No. 8